VASP calculation (PBE) on a geometry-optimized Ba2Co structure.

Computed properties:
- DFT formation energy: 0.48 eV per atom
- DOS at the Fermi energy: 2.573 states/eV per atom

Cell and atoms, written as POSCAR:
```
Ba2Co
1.0
-3.9269 3.9269 3.6241
3.9269 -3.9269 3.6241
3.9269 3.9269 -3.6241
Ba Co
4 2
Direct
0.1906 0.6906 0.8812
0.3094 0.1906 0.5000
0.6906 0.8094 0.5000
0.8094 0.3094 0.1188
0.2500 0.2500 0.0000
0.7500 0.7500 0.0000
```



VASP calculation (PBE) on a geometry-optimized BaCo structure.

Computed properties:
- DFT formation energy: 0.94 eV per atom
- DOS at the Fermi energy: 2.142 states/eV per atom

Cell and atoms, written as POSCAR:
```
BaCo
1.0
4.2565 0.0000 0.0000
-2.1282 3.6862 0.0000
0.0000 0.0000 4.2015
Ba Co
1 1
Direct
0.0000 0.0000 0.0000
0.6667 0.3333 0.5000
```



VASP calculation (PBE) on a geometry-optimized BaCr4Co structure.

Computed properties:
- DFT formation energy: 1.13 eV per atom
- DOS at the Fermi energy: 1.422 states/eV per atom

Cell and atoms, written as POSCAR:
```
BaCr4Co
1.0
0.0000 3.5718 3.5718
3.5718 0.0000 3.5718
3.5718 3.5718 0.0000
Ba Cr Co
1 4 1
Direct
0.0000 0.0000 0.0000
0.3785 0.3785 0.3785
0.3785 0.3785 0.8646
0.3785 0.8646 0.3785
0.8646 0.3785 0.3785
0.7500 0.7500 0.7500
```



VASP calculation (PBE) on a geometry-optimized Ba2Cr2Co structure.

Computed properties:
- DFT formation energy: 1.35 eV per atom
- DOS at the Fermi energy: 2.072 states/eV per atom
- E above lowest polymorph: 171.0 kJ/mol of formula units

Cell and atoms, written as POSCAR:
```
Ba2Cr2Co
1.0
9.4006 0.0000 0.0000
0.0000 9.4006 0.0000
0.0000 0.0000 3.3974
Ba Cr Co
4 4 2
Direct
0.2121 0.2879 0.0000
0.2879 0.7879 0.0000
0.7121 0.2121 0.0000
0.7879 0.7121 0.0000
0.0662 0.5662 0.5000
0.4338 0.0662 0.5000
0.5662 0.9338 0.5000
0.9338 0.4338 0.5000
0.0000 0.0000 0.0000
0.5000 0.5000 0.0000
```



VASP calculation (PBE) on a geometry-optimized Ba2Cr2Co structure.

Computed properties:
- DFT formation energy: 1.00 eV per atom
- DOS at the Fermi energy: 1.693 states/eV per atom
- E above lowest polymorph: 0.0 kJ/mol of formula units

Cell and atoms, written as POSCAR:
```
Ba2Cr2Co
1.0
-1.6668 1.6668 10.4294
1.6668 -1.6668 10.4294
1.6668 1.6668 -10.4294
Ba Cr Co
2 2 1
Direct
0.0961 0.0961 0.0000
0.9039 0.9039 0.0000
0.2500 0.7500 0.5000
0.7500 0.2500 0.5000
0.5000 0.5000 0.0000
```



VASP calculation (PBE) on a geometry-optimized Ba2CrCoCu structure.

Computed properties:
- DFT formation energy: 0.86 eV per atom
- DOS at the Fermi energy: 0.543 states/eV per atom

Cell and atoms, written as POSCAR:
```
Ba2CrCoCu
1.0
6.0358 0.0000 0.0000
0.0000 6.0358 0.0000
0.0000 0.0000 4.8110
Ba Cr Co Cu
2 1 1 1
Direct
0.0000 0.5000 0.0000
0.5000 0.0000 0.0000
0.0000 0.0000 0.5000
0.5000 0.5000 0.5000
0.0000 0.0000 0.0000
```